# CaTi3Rh

A relaxed structure of CaTi3Rh (PBE, Alexandria).

a b c (Å): 4.8359 4.8359 4.8359
angles (deg): 90.00 90.00 90.00
Fractional positions:
Ca: 0.0000 0.0000 0.0000
Ti: 0.0000 0.5000 0.5000
Ti: 0.5000 0.0000 0.5000
Ti: 0.5000 0.5000 0.0000
Rh: 0.5000 0.5000 0.5000

SG: Pm-3m
Uncorrected energy in Ry/atom: -0.4687
Calculated formation energy in eV per atom: 0.23
Total moment in μB per cell: 0.00